{"formula": "Ba2ZnWS6", "functional": "PBE", "state": "optimized geometry", "lattice": [[0.000, 4.868, 4.868], [4.868, 0.000, 4.868], [4.868, 4.868, 0.000]], "species": ["Ba", "Ba", "S", "S", "S", "S", "S", "S", "W", "Zn"], "frac_coords": [[0.250, 0.250, 0.250], [0.750, 0.750, 0.750], [0.755, 0.245, 0.245], [0.245, 0.755, 0.245], [0.755, 0.755, 0.245], [0.245, 0.245, 0.755], [0.755, 0.245, 0.755], [0.245, 0.755, 0.755], [0.000, 0.000, 0.000], [0.500, 0.500, 0.500]], "dft_energy_ev_per_atom": -5.30, "space_group": "No. 225", "m_tot_mub_per_atom": 0.000}